(1)
## MgAlRh2 (PBE-GGA)

Data for a relaxed structure of MgAlRh2.

Cell: 4.3103 4.3103 4.3103 Å, 60.00 60.00 60.00°
Fractional coordinates of all 4 atoms:
Mg  0.0000  0.0000  0.0000
Rh  0.2500  0.2500  0.2500
Rh  0.7500  0.7500  0.7500
Al  0.5000  0.5000  0.5000

Properties
**Density of states at the Fermi level**: 1.34 states/eV per cell
**E**: -23.44 eV per cell

=====

(2)
## Mg17Al11Rh (PBE-GGA)

Data for a relaxed structure of Mg17Al11Rh.

Cell: 9.1116 9.1116 8.8817 Å, 70.97 70.97 110.07°
Fractional coordinates of all 29 atoms:
Mg  0.3873  0.3873  0.2799
Mg  0.0075  0.0075  0.6378
Mg  0.6809  0.6809  0.7154
Mg  0.6480  0.6480  0.3459
Mg  0.0014  0.0014  0.0036
Mg  0.3153  0.5997  0.9998
Mg  0.0049  0.3161  0.3885
Mg  0.4033  0.7188  0.5992
Mg  0.0032  0.3355  0.0106
Mg  0.2874  0.6823  0.3149
Mg  0.5980  0.0026  0.6859
Mg  0.0026  0.5980  0.6859
Mg  0.6823  0.2874  0.3149
Mg  0.3355  0.0032  0.0106
Mg  0.7188  0.4033  0.5992
Mg  0.3161  0.0049  0.3885
Mg  0.5997  0.3153  0.9998
Al  0.3580  0.3580  0.8461
Al  0.6396  0.8178  0.9940
Al  0.8205  0.0018  0.3653
Al  0.1884  0.3711  0.6332
Al  0.8259  0.1882  0.8104
Al  0.6312  0.9982  0.1875
Al  0.9982  0.6312  0.1875
Al  0.1882  0.8259  0.8104
Al  0.3711  0.1884  0.6332
Al  0.0018  0.8205  0.3653
Al  0.8178  0.6396  0.9940
Rh  0.1675  0.1675  0.1929

Properties
**Density of states at the Fermi level**: 9.84 states/eV per cell
**E**: -78.29 eV per cell

=====

Quick rundown of formation energy from the elements, same order as above: -0.850 -0.092 eV per atom